Material: FeHgPO2
Method: DFT, GGA-PBEsol
State: optimized geometry

E_form (uncorrected) = 1.009 eV/atom
E_tot = -4.155 eV per atom
magnetic moment = 0.82 μB per atom
density = 6.5 g cm⁻³

abc: 4.0080 4.0080 5.0818
angles: 90.00 90.00 90.00
Positions (direct):
P 0.0000 0.0000 0.5000
Hg 0.0000 0.0000 0.0000
O 0.0000 0.5000 0.0000
O 0.5000 0.0000 0.0000
Fe 0.5000 0.5000 0.5000


Material: FeHg2Os
Method: DFT, GGA-PBEsol
State: optimized geometry

E_tot = -4.878 eV per atom
ΔE to the lowest computed polymorph = 0.0 kJ/mol of formula units
magnetic moment = 0.64 μB per atom
density = 16.5 g cm⁻³
calculated formation energy = 0.70 eV/atom

abc: 2.8762 2.8762 9.2198
angles: 81.03 81.03 60.00
Positions (direct):
Fe 0.0000 0.0000 0.0000
Hg 0.2527 0.2527 0.2420
Hg 0.7473 0.7473 0.7580
Os 0.5000 0.5000 0.5000


> E_tot of number 1 (FeHgPO2)?

-4.155 eV per atom